1.
First-principles (PBE-GGA) data for an optimized crystal structure of PrGaNi, as listed in the Open Quantum Materials Database.

```
PrGaNi
1.0
2.367 1.366 3.865
-2.367 1.366 3.865
0.000 -2.733 3.865
Ga Ni Pr
1 1 1
direct
0.250 0.250 0.250
0.750 0.750 0.750
0.000 0.000 0.000
```

Results
E in eV/atom: -4.18
SG: F-43m, No. 216

2.
First-principles (PBE-GGA) data for an optimized crystal structure of W3AuCN, as listed in the Open Quantum Materials Database.

```
W3AuCN
1.0
-0.363 0.927 2.921
-2.097 -1.851 -1.304
9.541 -14.991 5.941
Au C N W
2 2 2 6
direct
0.000 0.000 0.254
0.000 0.000 0.746
0.333 0.667 0.069
0.667 0.333 0.931
0.333 0.667 0.435
0.667 0.333 0.565
0.000 0.000 0.000
0.667 0.333 0.130
0.667 0.333 0.374
0.000 0.000 0.500
0.333 0.667 0.626
0.333 0.667 0.870
```

Results
E in eV/atom: -9.66
SG: P-3m1, No. 164

3.
First-principles (PBE-GGA) data for an optimized crystal structure of LiTmMg2, as listed in the Open Quantum Materials Database.

```
LiTmMg2
1.0
3.424 0.000 0.000
0.000 5.369 0.000
0.000 0.000 5.369
Li Mg Tm
1 2 1
direct
0.000 0.000 0.252
0.500 0.500 0.247
0.500 0.000 0.754
0.000 0.500 0.747
```

Results
E in eV/atom: -2.34
SG: Pmm2, No. 25

4.
First-principles (PBE-GGA) data for an optimized crystal structure of HfAlPd, as listed in the Open Quantum Materials Database.

```
HfAlPd
1.0
-3.632 -2.506 0.664
-4.057 1.722 -0.697
-2.435 -1.365 -3.481
Al Hf Pd
1 1 1
direct
0.250 0.250 0.250
0.000 0.000 0.000
0.750 0.750 0.750
```

Results
E in eV/atom: -6.21
SG: F-43m, No. 216